A crystal of Ca3MnH12S2O17 relaxed with PBEsol. Source: Alexandria via LeMat-Bulk, functional SCAN.

Results
- crystal system = hexagonal
- DFT total energy (eV per cell) = -553.47
- total moment (Bohr magnetons per cell) = 5.87
- space group = No. 194

Structure (POSCAR):
```
Ca3MnH12S2O17
1.0
8.411 0.000 0.000
-4.205 7.284 0.000
0.000 0.000 10.745
Ca Mn H S O
6 2 24 4 34
direct
0.150 0.301 0.250
0.150 0.850 0.250
0.301 0.150 0.750
0.699 0.850 0.250
0.850 0.150 0.750
0.850 0.699 0.750
0.000 0.000 0.000
0.000 0.000 0.500
0.105 0.552 0.680
0.105 0.552 0.820
0.158 0.315 0.555
0.158 0.315 0.945
0.158 0.842 0.555
0.158 0.842 0.945
0.315 0.158 0.055
0.315 0.158 0.445
0.448 0.552 0.680
0.448 0.552 0.820
0.448 0.895 0.680
0.448 0.895 0.820
0.552 0.105 0.180
0.552 0.105 0.320
0.552 0.448 0.180
0.552 0.448 0.320
0.685 0.842 0.555
0.685 0.842 0.945
0.842 0.158 0.055
0.842 0.158 0.445
0.842 0.685 0.055
0.842 0.685 0.445
0.895 0.448 0.180
0.895 0.448 0.320
0.333 0.667 0.023
0.333 0.667 0.477
0.667 0.333 0.523
0.667 0.333 0.977
0.016 0.508 0.750
0.102 0.205 0.610
0.102 0.205 0.890
0.102 0.898 0.610
0.102 0.898 0.890
0.205 0.102 0.110
0.205 0.102 0.390
0.237 0.474 0.066
0.237 0.474 0.434
0.237 0.763 0.066
0.237 0.763 0.434
0.333 0.667 0.616
0.333 0.667 0.884
0.474 0.237 0.566
0.474 0.237 0.934
0.492 0.508 0.750
0.492 0.984 0.750
0.508 0.016 0.250
0.508 0.492 0.250
0.526 0.763 0.066
0.526 0.763 0.434
0.667 0.333 0.116
0.667 0.333 0.384
0.763 0.237 0.566
0.763 0.237 0.934
0.763 0.526 0.566
0.763 0.526 0.934
0.795 0.898 0.610
0.795 0.898 0.890
0.898 0.102 0.110
0.898 0.102 0.390
0.898 0.795 0.110
0.898 0.795 0.390
0.984 0.492 0.250
```

---

A crystal of Ca2Mn2Si4H6O17 relaxed with PBEsol. Source: Alexandria via LeMat-Bulk, functional SCAN.

Results
- crystal system = triclinic
- DFT total energy (eV per cell) = -294.77
- total moment (Bohr magnetons per cell) = 6.00
- space group = No. 1

Structure (POSCAR):
```
Ca2Mn2Si4H6O17
1.0
5.336 0.000 0.000
2.098 4.909 0.000
0.722 0.481 11.892
Ca Mn Si H O
2 2 4 6 17
direct
0.000 0.000 0.000
0.390 0.390 0.467
0.196 0.694 0.734
0.696 0.193 0.733
0.592 0.602 0.130
0.662 0.657 0.882
0.732 0.729 0.585
0.788 0.799 0.337
0.006 0.117 0.420
0.103 0.079 0.549
0.181 0.620 0.232
0.274 0.383 0.047
0.312 0.286 0.918
0.771 0.209 0.235
0.052 0.051 0.679
0.056 0.595 0.608
0.111 0.605 0.316
0.161 0.100 0.467
0.277 0.653 0.116
0.292 0.228 0.000
0.338 0.793 0.859
0.339 0.338 0.788
0.563 0.560 0.657
0.596 0.052 0.608
0.616 0.775 0.233
0.693 0.669 0.454
0.723 0.696 0.012
0.736 0.114 0.351
0.787 0.279 0.151
0.795 0.334 0.858
0.830 0.827 0.809
```

---

A crystal of CaReMo2H relaxed with PBEsol. Source: Alexandria via LeMat-Bulk, functional SCAN.

Results
- crystal system = tetragonal
- DFT total energy (eV per cell) = -145.51
- total moment (Bohr magnetons per cell) = 3.57
- space group = No. 123

Structure (POSCAR):
```
CaReMo2H
1.0
4.657 0.000 0.000
0.000 4.657 0.000
0.000 0.000 5.874
Ca Re Mo H
1 1 2 1
direct
0.000 0.000 0.000
0.000 0.000 0.500
0.000 0.500 0.500
0.500 0.000 0.500
0.500 0.500 0.000
```

---

A crystal of CaHN relaxed with PBEsol. Source: Alexandria via LeMat-Bulk, functional SCAN.

Results
- crystal system = orthorhombic
- total moment (Bohr magnetons per cell) = 0.00
- polymorph energy (0 for the lowest one) (eV/atom) = 0.000
- space group = No. 62

Structure (POSCAR):
```
CaHN
1.0
5.030 0.000 0.000
0.000 4.788 0.000
0.000 0.000 6.003
Ca H N
4 4 4
direct
0.245 0.250 0.066
0.255 0.750 0.566
0.745 0.250 0.434
0.755 0.750 0.934
0.219 0.250 0.619
0.281 0.750 0.119
0.719 0.250 0.881
0.781 0.750 0.381
0.248 0.250 0.446
0.252 0.750 0.946
0.748 0.250 0.054
0.752 0.750 0.554
```

---

A crystal of CaHN relaxed with PBEsol. Source: Alexandria via LeMat-Bulk, functional SCAN.

Results
- crystal system = tetragonal
- total moment (Bohr magnetons per cell) = 0.00
- polymorph energy (0 for the lowest one) (eV/atom) = 0.042
- space group = No. 107

Structure (POSCAR):
```
CaHN
1.0
-1.749 1.749 2.818
1.749 -1.749 2.818
1.749 1.749 -2.818
Ca H N
1 1 1
direct
0.000 0.000 0.000
0.411 0.411 0.000
0.596 0.596 0.000
```

---

A crystal of CaHNO2 relaxed with PBEsol. Source: Alexandria via LeMat-Bulk, functional SCAN.

Results
- crystal system = tetragonal
- DFT total energy (eV per cell) = -31.23
- total moment (Bohr magnetons per cell) = 6.00
- space group = No. 123

Structure (POSCAR):
```
CaHNO2
1.0
4.473 0.000 0.000
0.000 4.473 0.000
0.000 0.000 5.286
Ca H N O
1 1 1 2
direct
0.000 0.000 0.000
0.500 0.500 0.500
0.000 0.000 0.500
0.000 0.500 0.000
0.500 0.000 0.000
```

---

A crystal of CaHNO2 relaxed with PBEsol. Source: Alexandria via LeMat-Bulk, functional SCAN.

Results
- crystal system = tetragonal
- DFT total energy (eV per cell) = -35.24
- total moment (Bohr magnetons per cell) = 0.21
- space group = No. 123

Structure (POSCAR):
```
CaHNO2
1.0
3.890 0.000 0.000
0.000 3.890 0.000
0.000 0.000 2.765
Ca H N O
1 1 1 2
direct
0.000 0.000 0.000
0.500 0.500 0.500
0.500 0.500 0.000
0.000 0.500 0.500
0.500 0.000 0.500
```

---

A crystal of CaH12S2N2O10 relaxed with PBEsol. Source: Alexandria via LeMat-Bulk, functional SCAN.

Results
- crystal system = monoclinic
- DFT total energy (eV per cell) = -369.26
- total moment (Bohr magnetons per cell) = 0.00
- space group = No. 15

Structure (POSCAR):
```
CaH12S2N2O10
1.0
5.829 -3.675 0.000
5.829 3.675 0.000
-1.909 0.000 11.324
Ca H S N O
2 24 4 4 20
direct
0.069 0.931 0.750
0.931 0.069 0.250
0.047 0.783 0.011
0.160 0.565 0.149
0.168 0.220 0.948
0.217 0.953 0.489
0.220 0.168 0.448
0.263 0.639 0.534
0.302 0.547 0.906
0.310 0.357 0.696
0.357 0.310 0.196
0.361 0.737 0.966
0.435 0.840 0.351
0.453 0.698 0.594
0.547 0.302 0.406
0.565 0.160 0.649
0.639 0.263 0.034
0.643 0.690 0.804
0.690 0.643 0.304
0.698 0.453 0.094
0.737 0.361 0.466
0.780 0.832 0.552
0.783 0.047 0.511
0.832 0.780 0.052
0.840 0.435 0.851
0.953 0.217 0.989
0.111 0.514 0.324
0.486 0.889 0.176
0.514 0.111 0.824
0.889 0.486 0.676
0.252 0.469 0.216
0.469 0.252 0.716
0.531 0.748 0.284
0.748 0.531 0.784
0.001 0.251 0.655
0.033 0.204 0.920
0.047 0.583 0.699
0.204 0.033 0.420
0.245 0.708 0.916
0.251 0.001 0.155
0.268 0.414 0.426
0.292 0.755 0.584
0.414 0.268 0.926
0.417 0.953 0.801
0.583 0.047 0.199
0.586 0.732 0.074
0.708 0.245 0.416
0.732 0.586 0.574
0.749 0.999 0.845
0.755 0.292 0.084
0.796 0.967 0.580
0.953 0.417 0.301
0.967 0.796 0.080
0.999 0.749 0.345
```

---

A crystal of CaTeHN2 relaxed with PBEsol. Source: Alexandria via LeMat-Bulk, functional SCAN.

Results
- crystal system = tetragonal
- DFT total energy (eV per cell) = -60.85
- total moment (Bohr magnetons per cell) = 4.23
- space group = No. 123

Structure (POSCAR):
```
CaTeHN2
1.0
4.497 0.000 0.000
0.000 4.497 0.000
0.000 0.000 6.304
Ca Te H N
1 1 1 2
direct
0.000 0.000 0.000
0.000 0.000 0.500
0.500 0.500 0.500
0.000 0.500 0.000
0.500 0.000 0.000
```

---

A crystal of NaCa2H2 relaxed with PBEsol. Source: Alexandria via LeMat-Bulk, functional SCAN.

Results
- crystal system = tetragonal
- DFT total energy (eV per cell) = -32.19
- total moment (Bohr magnetons per cell) = 0.47
- space group = No. 139

Structure (POSCAR):
```
NaCa2H2
1.0
-1.916 1.916 7.630
1.916 -1.916 7.630
1.916 1.916 -7.630
Na Ca H
1 2 2
direct
0.000 0.000 0.000
0.328 0.328 0.000
0.672 0.672 0.000
0.250 0.750 0.500
0.750 0.250 0.500
```

---

A crystal of NaCa2Si3HO9 relaxed with PBEsol. Source: Alexandria via LeMat-Bulk, functional SCAN.

Results
- crystal system = triclinic
- DFT total energy (eV per cell) = -320.86
- total moment (Bohr magnetons per cell) = 0.13
- space group = No. 2

Structure (POSCAR):
```
NaCa2Si3HO9
1.0
7.024 0.000 0.000
-0.064 7.024 0.000
-0.729 -1.739 7.759
Na Ca Si H O
2 4 6 2 18
direct
0.158 0.241 0.448
0.842 0.759 0.552
0.356 0.907 0.145
0.360 0.416 0.152
0.640 0.584 0.848
0.644 0.093 0.855
0.154 0.547 0.786
0.161 0.098 0.783
0.355 0.765 0.549
0.645 0.235 0.451
0.839 0.902 0.217
0.846 0.453 0.214
0.034 0.152 0.165
0.966 0.848 0.835
0.042 0.999 0.185
0.044 0.342 0.177
0.110 0.310 0.737
0.224 0.589 0.603
0.227 0.967 0.599
0.324 0.605 0.941
0.328 0.113 0.938
0.374 0.712 0.345
0.445 0.204 0.329
0.555 0.796 0.671
0.626 0.288 0.655
0.672 0.887 0.062
0.676 0.395 0.059
0.773 0.033 0.401
0.776 0.411 0.397
0.890 0.690 0.263
0.956 0.658 0.823
0.958 0.001 0.815
```

---

A crystal of Ca4Ni20H relaxed with PBEsol. Source: Alexandria via LeMat-Bulk, functional SCAN.

Results
- crystal system = orthorhombic
- DFT total energy (eV per cell) = -367.65
- total moment (Bohr magnetons per cell) = 10.00
- space group = No. 35

Structure (POSCAR):
```
Ca4Ni20H
1.0
4.818 -8.469 0.000
4.818 8.469 0.000
0.000 0.000 3.885
Ca Ni H
4 20 1
direct
0.246 0.754 0.000
0.252 0.252 0.001
0.748 0.748 0.001
0.754 0.246 0.000
0.000 0.000 0.500
0.000 0.500 0.500
0.001 0.250 0.500
0.082 0.918 0.000
0.085 0.418 0.000
0.247 0.502 0.500
0.250 0.001 0.500
0.407 0.593 0.998
0.418 0.085 0.000
0.498 0.753 0.500
0.500 0.000 0.500
0.500 0.500 0.508
0.502 0.247 0.500
0.582 0.915 0.000
0.593 0.407 0.998
0.750 0.999 0.500
0.753 0.498 0.500
0.915 0.582 0.000
0.918 0.082 0.000
0.999 0.750 0.500
0.500 0.500 0.080
```

---

Please write out number 5 again, unchanged.
A crystal of CaHN relaxed with PBEsol. Source: Alexandria via LeMat-Bulk, functional SCAN.

Results
- crystal system = tetragonal
- total moment (Bohr magnetons per cell) = 0.00
- polymorph energy (0 for the lowest one) (eV/atom) = 0.042
- space group = No. 107

Structure (POSCAR):
```
CaHN
1.0
-1.749 1.749 2.818
1.749 -1.749 2.818
1.749 1.749 -2.818
Ca H N
1 1 1
direct
0.000 0.000 0.000
0.411 0.411 0.000
0.596 0.596 0.000
```

---

- Which value of total moment does entry 11 give?
  0.13 Bohr magnetons per cell